## A
The following is a PBE-GGA calculation of a relaxed structure of ScCr3S, from Alexandria.

a b c (Å): 4.3879 4.3879 4.3879
angles (deg): 90.00 90.00 90.00
Last column: nearest neighbours and their distance in Å.
Space group Pm-3m (No. 221)
Unique sites:
Sc 0.0000 0.0000 0.0000 x1  6 Cr 2.19
Cr 0.0000 0.0000 0.5000 x3  2 Sc 2.19
S 0.5000 0.5000 0.5000 x1  12 Cr 3.10

total moment: 0.00 μB/f.u.

---

## B
The following is a PBE-GGA calculation of a relaxed structure of ScCr3S, from Alexandria.

a b c (Å): 4.2115 4.2115 4.2115
angles (deg): 90.00 90.00 90.00
Last column: nearest neighbours and their distance in Å.
Space group Pm-3m (No. 221)
Unique sites:
Sc 0.0000 0.0000 0.0000 x1  12 Cr 2.98
Cr 0.0000 0.5000 0.5000 x3  2 S 2.11
S 0.5000 0.5000 0.5000 x1  6 Cr 2.11

total moment: 0.78 μB/f.u.

---

Stability ranking, top and bottom: B is the most stable and A is the least stable.

---

## A
The following is a PBE-GGA calculation of a relaxed structure of CrSeS3, from Alexandria.

a b c (Å): 6.6446 4.7300 7.2019
angles (deg): 90.00 92.43 90.00
Last column: nearest neighbours and their distance in Å.
Space group P2_1 (No. 4)
Unique sites:
Cr 0.2485 0.0000 0.4967 x2  5 S 2.33-2.44, 1 Se 2.49
Se 0.2303 0.3306 0.7650 x2  1 S 2.22
S 0.0364 0.6888 0.6714 x2  1 Se 2.22, 2 Cr 2.38-2.43
S 0.2893 0.6838 0.2536 x2  1 S 2.06
S 0.4573 0.3357 0.3330 x2  1 S 2.06

total moment: 2.31 μB/f.u.

---

## B
The following is a PBE-GGA calculation of a relaxed structure of CrSeS3, from Alexandria.

a b c (Å): 4.4552 4.4552 4.4552
angles (deg): 90.00 90.00 90.00
Last column: nearest neighbours and their distance in Å.
Space group Pm-3m (No. 221)
Unique sites:
Cr 0.0000 0.0000 0.0000 x1  6 S 2.23
Se 0.5000 0.5000 0.5000 x1  12 S 3.15
S 0.0000 0.0000 0.5000 x3  2 Cr 2.23

total moment: 0.00 μB/f.u.

---

Stability ranking, top and bottom: A is the most stable and B is the least stable.

---

## A
The following is a PBE-GGA calculation of a relaxed structure of SmCrS3, from Alexandria.

a b c (Å): 8.7746 12.2707 3.6663
angles (deg): 90.00 90.00 90.00
Last column: nearest neighbours and their distance in Å.
Space group Cmmm (No. 65)
Unique sites:
Sm 0.0000 0.0000 0.0000 x2  8 S 2.95
Sm 0.0000 0.5000 0.5000 x2  8 S 2.80-3.06
Cr 0.2500 0.2500 0.0000 x4  6 S 2.39-2.44
S 0.0000 0.3275 0.0000 x4  2 Cr 2.39
S 0.1977 0.1243 0.5000 x8  2 Cr 2.44

total moment: 2.94 μB/f.u.

---

## B
The following is a PBE-GGA calculation of a relaxed structure of SmCrS3, from Alexandria.

a b c (Å): 7.7903 3.7600 12.8988
angles (deg): 90.00 90.00 90.00
Last column: nearest neighbours and their distance in Å.
Space group Pnma (No. 62)
Unique sites:
Sm 0.0855 0.2500 0.1728 x4  8 S 2.89-3.00
Cr 0.1642 0.7500 0.4498 x4  6 S 2.37-2.46
S 0.0078 0.7500 0.6069 x4  3 Cr 2.37-2.42
S 0.1572 0.7500 0.0078 x4  2 Cr 2.46
S 0.1939 0.2500 0.7863 x4  1 Cr 2.38

total moment: 3.00 μB/f.u.

---

Stability ranking, top and bottom: B is the most stable and A is the least stable.